(A)
A relaxed TiRuIO2 crystal, computed with PBE.

Cell: 3.805 3.805 6.153 Å, 90.00 90.00 90.00°
Space group P4/mmm (No. 123)
One atom of each set of equivalent atoms:
Ti 0.000 0.000 0.000
Ru 0.500 0.500 0.500
I 0.000 0.000 0.500
O 0.000 0.500 0.000

Results
Crystal system: tetragonal
Calculated density (g/cm3): 5.74


(B)
A relaxed TiRuIO2 crystal, computed with PBE.

Cell: 3.877 3.877 6.025 Å, 90.00 90.00 90.00°
Space group P4/mmm (No. 123)
One atom of each set of equivalent atoms:
Ti 0.000 0.000 0.000
Ru 0.500 0.500 0.500
I 0.500 0.500 0.000
O 0.000 0.500 0.500

Results
Crystal system: tetragonal
Calculated density (g/cm3): 5.64


Stability summary - winner: (A); margin: 662 meV per atom.


(A)
A relaxed TlRuI2O crystal, computed with PBE.

Cell: 5.823 5.823 3.795 Å, 90.00 90.00 90.00°
Space group P4/mmm (No. 123)
One atom of each set of equivalent atoms:
Tl 0.000 0.000 0.000
Ru 0.500 0.500 0.500
I 0.000 0.500 0.500
O 0.500 0.500 0.000

Results
Crystal system: tetragonal
Calculated density (g/cm3): 7.42


(B)
A relaxed TlRuI2O crystal, computed with PBE.

Cell: 6.105 6.105 4.055 Å, 90.00 90.00 90.00°
Space group P4/mmm (No. 123)
One atom of each set of equivalent atoms:
Tl 0.000 0.000 0.000
Ru 0.500 0.500 0.500
I 0.000 0.500 0.000
O 0.000 0.000 0.500

Results
Crystal system: tetragonal
Calculated density (g/cm3): 6.32


Stability summary - winner: (A); margin: 1107 meV per atom.